Entry 1:
Below is a relaxed structure of La3TiGa, with properties calculated at the PBE-GGA level.

The space group is Pm-3m (No. 221) and the conventional cell measures 5.466, 5.466 and 5.466 Å, with angles of 90.00, 90.00 and 90.00 degrees. Symmetry generates all atoms from La at (0.000, 0.000, 0.500), Ti at (0.000, 0.000, 0.000) and Ga at (0.500, 0.500, 0.500).

The density is 5.43 g/cm³. Its polymorph energy (0 for the lowest one) is 0 meV/atom. The calculation puts the energy relative to the elements at 1.79 eV per formula unit.


Entry 2:
Below is a relaxed structure of CeNbPt6, with properties calculated at the PBE-GGA level.

The space group is P4/mmm (No. 123) and the conventional cell measures 4.092, 4.092 and 8.210 Å, with angles of 90.00, 90.00 and 90.00 degrees. Symmetry generates all atoms from Ce at (0.000, 0.000, 0.000), Nb at (0.000, 0.000, 0.500), Pt at (0.000, 0.500, 0.266), Pt at (0.500, 0.500, 0.000) and Pt at (0.500, 0.500, 0.500).

The density is 16.95 g/cm³. The calculation puts the energy relative to the elements at -5.92 eV per formula unit.


Entry 3:
Below is a relaxed structure of K2Na5InPb2, with properties calculated at the PBE-GGA level.

The space group is P4/mbm (No. 127) and the conventional cell measures 13.455, 13.455 and 3.993 Å, with angles of 90.00, 90.00 and 90.00 degrees. Symmetry generates all atoms from K at (0.170, 0.330, 0.000), Na at (0.000, 0.500, 0.500), Na at (0.062, 0.810, 0.500), In at (0.000, 0.000, 0.000) and Pb at (0.134, 0.634, 0.000).

The density is 3.32 g/cm³. The calculation puts the energy relative to the elements at -0.67 eV per formula unit.


Entry 4:
Below is a relaxed structure of TlCr2W, with properties calculated at the PBE-GGA level.

The space group is R3m (No. 160, hexagonal axes) and the conventional cell measures 2.9417, 2.9417 and 26.2372 Å, with angles of 90.00, 90.00 and 120.00 degrees. Symmetry generates all atoms from Tl at (0.0000, 0.0000, 0.0000), Cr at (0.0000, 0.0000, 0.2404), Cr at (0.0000, 0.0000, 0.5102) and W at (0.0000, 0.0000, 0.7641).

The density is 12.47 g/cm³. Its polymorph energy (0 for the lowest one) is 279 meV/atom. The calculation puts the energy relative to the elements at 2.97 eV per formula unit.


Entry 5:
Below is a relaxed structure of KLiLa2, with properties calculated at the PBE-GGA level.

The space group is P4/mmm (No. 123) and the conventional cell measures 3.893, 3.893 and 10.378 Å, with angles of 90.00, 90.00 and 90.00 degrees. Symmetry generates all atoms from K at (0.000, 0.000, 0.000), Li at (0.000, 0.000, 0.500) and La at (0.500, 0.500, 0.341).

The density is 3.42 g/cm³. Its polymorph energy (0 for the lowest one) is 116 meV/atom. The calculation puts the energy relative to the elements at 1.12 eV per formula unit.


Entry 6:
Below is a relaxed structure of Pa2Al4Zn3Ag, with properties calculated at the PBE-GGA level.

The space group is P-4m2 (No. 115) and the conventional cell measures 4.180, 4.180 and 10.758 Å, with angles of 90.00, 90.00 and 90.00 degrees. Symmetry generates all atoms from Pa at (0.000, 0.500, 0.247), Al at (0.000, 0.000, 0.000), Al at (0.000, 0.500, 0.639), Al at (0.500, 0.500, 0.000), Zn at (0.000, 0.500, 0.863), Zn at (0.500, 0.500, 0.500) and Ag at (0.000, 0.000, 0.500).

The density is 7.72 g/cm³. The calculation puts the energy relative to the elements at -1.50 eV per formula unit.


Q: density of number 3 (K2Na5InPb2)?
A: 3.32 g/cm³